No. 1
# GGA-PBE LiHoErIn, relaxed
data_LiHoErIn
_chemical_formula_sum 'Li4 Ho4 Er4 In4'
_cell_length_a 7.4045
_cell_length_b 7.4045
_cell_length_c 7.4045
_cell_angle_alpha 90.00
_cell_angle_beta 90.00
_cell_angle_gamma 90.00
_symmetry_space_group_name_H-M 'F -4 3 m'
_symmetry_Int_Tables_number 216
_symmetry_space_group_name_Hall 'F -4 2 3'
loop_
_atom_site_label
_atom_site_type_symbol
_atom_site_fract_x
_atom_site_fract_y
_atom_site_fract_z
Li1 Li 0.0000 0.0000 0.0000
Ho1 Ho 0.2500 0.2500 0.2500
Er1 Er 0.2500 0.2500 0.7500
In1 In 0.0000 0.0000 0.5000
# Energy of formation from the pure elements, kJ/mol of formula units: -100



No. 2
# GGA-PBE SbAs5, relaxed
data_SbAs5
_chemical_formula_sum 'Sb2 As10'
_cell_length_a 3.9172
_cell_length_b 11.9786
_cell_length_c 5.6274
_cell_angle_alpha 90.00
_cell_angle_beta 90.00
_cell_angle_gamma 90.00
_symmetry_space_group_name_H-M 'C m m m'
_symmetry_Int_Tables_number 65
_symmetry_space_group_name_Hall '-C 2 2'
loop_
_atom_site_label
_atom_site_type_symbol
_atom_site_fract_x
_atom_site_fract_y
_atom_site_fract_z
Sb1 Sb 0.0000 0.0000 0.0000
As1 As 0.0000 0.0000 0.5000
As2 As 0.0000 0.3271 0.0000
As3 As 0.0000 0.3311 0.5000
# Uncorrected formation energy, eV per atom: 0.118
# Distance to the lowest polymorph of the same formula, meV/atom: 0



No. 3
# GGA-PBE Be4GaAg, relaxed
data_Be4GaAg
_chemical_formula_sum 'Be16 Ga4 Ag4'
_cell_length_a 6.4132
_cell_length_b 6.4132
_cell_length_c 6.4132
_cell_angle_alpha 90.00
_cell_angle_beta 90.00
_cell_angle_gamma 90.00
_symmetry_space_group_name_H-M 'F -4 3 m'
_symmetry_Int_Tables_number 216
_symmetry_space_group_name_Hall 'F -4 2 3'
loop_
_atom_site_label
_atom_site_type_symbol
_atom_site_fract_x
_atom_site_fract_y
_atom_site_fract_z
Be1 Be 0.1247 0.1247 0.1247
Ga1 Ga 0.2500 0.2500 0.7500
Ag1 Ag 0.0000 0.0000 0.5000
# Energy of formation from the pure elements, kJ/mol of formula units: 72



No. 4
# GGA-PBE Sc2W2Au, relaxed
data_Sc2W2Au
_chemical_formula_sum 'Sc4 W4 Au2'
_cell_length_a 3.6174
_cell_length_b 3.6174
_cell_length_c 16.0552
_cell_angle_alpha 90.00
_cell_angle_beta 90.00
_cell_angle_gamma 90.00
_symmetry_space_group_name_H-M 'I 4/m m m'
_symmetry_Int_Tables_number 139
_symmetry_space_group_name_Hall '-I 4 2'
loop_
_atom_site_label
_atom_site_type_symbol
_atom_site_fract_x
_atom_site_fract_y
_atom_site_fract_z
Sc1 Sc 0.0000 0.0000 0.1026
W1 W 0.0000 0.5000 0.2500
Au1 Au 0.0000 0.0000 0.5000
# Energy of formation from the pure elements, kJ/mol of formula units: 96
# Distance to the lowest polymorph of the same formula, meV/atom: 0



No. 5
# GGA-PBE NdY4Tm7, relaxed
data_NdY4Tm7
_chemical_formula_sum 'Nd2 Y8 Tm14'
_cell_length_a 12.0230
_cell_length_b 5.8212
_cell_length_c 12.6049
_cell_angle_alpha 90.00
_cell_angle_beta 118.12
_cell_angle_gamma 90.00
_symmetry_space_group_name_H-M 'C 1 2/m 1'
_symmetry_Int_Tables_number 12
_symmetry_space_group_name_Hall '-C 2y'
loop_
_atom_site_label
_atom_site_type_symbol
_atom_site_fract_x
_atom_site_fract_y
_atom_site_fract_z
Nd1 Nd 0.0000 0.0000 0.0000
Y1 Y 0.1314 0.5000 0.7751
Y2 Y 0.2478 0.0000 0.6824
Tm1 Tm 0.0000 0.5000 0.0000
Tm2 Tm 0.0606 0.0000 0.3283
Tm3 Tm 0.1347 0.5000 0.5026
Tm4 Tm 0.2108 0.0000 0.9232
# Energy of formation from the pure elements, kJ/mol of formula units: 325
# Distance to the lowest polymorph of the same formula, meV/atom: 201



No. 6
# GGA-PBE Ac2SmSe2S2, relaxed
data_Ac2SmSe2S2
_chemical_formula_sum 'Ac4 Sm2 Se4 S4'
_cell_length_a 5.1978
_cell_length_b 5.1978
_cell_length_c 15.7636
_cell_angle_alpha 90.00
_cell_angle_beta 90.00
_cell_angle_gamma 90.00
_symmetry_space_group_name_H-M 'I 4/m m m'
_symmetry_Int_Tables_number 139
_symmetry_space_group_name_Hall '-I 4 2'
loop_
_atom_site_label
_atom_site_type_symbol
_atom_site_fract_x
_atom_site_fract_y
_atom_site_fract_z
Ac1 Ac 0.0000 0.0000 0.1276
Sm1 Sm 0.0000 0.0000 0.5000
Se1 Se 0.0000 0.0000 0.3173
S1 S 0.0000 0.5000 0.0000
# Uncorrected formation energy, eV per atom: -1.776



No. 7
# GGA-PBE LiTlZn, relaxed
data_LiTlZn
_chemical_formula_sum 'Li4 Tl4 Zn4'
_cell_length_a 6.4442
_cell_length_b 6.4442
_cell_length_c 6.4442
_cell_angle_alpha 90.00
_cell_angle_beta 90.00
_cell_angle_gamma 90.00
_symmetry_space_group_name_H-M 'F -4 3 m'
_symmetry_Int_Tables_number 216
_symmetry_space_group_name_Hall 'F -4 2 3'
loop_
_atom_site_label
_atom_site_type_symbol
_atom_site_fract_x
_atom_site_fract_y
_atom_site_fract_z
Li1 Li 0.0000 0.0000 0.0000
Tl1 Tl 0.0000 0.0000 0.5000
Zn1 Zn 0.2500 0.2500 0.7500
# Energy of formation from the pure elements, kJ/mol of formula units: 1
# Distance to the lowest polymorph of the same formula, meV/atom: 101



No. 8
# GGA-PBE P2IrSe, relaxed
data_P2IrSe
_chemical_formula_sum 'P4 Ir2 Se2'
_cell_length_a 6.8170
_cell_length_b 3.5168
_cell_length_c 6.8181
_cell_angle_alpha 90.00
_cell_angle_beta 110.83
_cell_angle_gamma 90.00
_symmetry_space_group_name_H-M 'C 1 m 1'
_symmetry_Int_Tables_number 8
_symmetry_space_group_name_Hall 'C -2y'
loop_
_atom_site_label
_atom_site_type_symbol
_atom_site_fract_x
_atom_site_fract_y
_atom_site_fract_z
P1 P 0.0000 0.0000 0.0000
P2 P 0.2496 0.0000 0.6645
Ir1 Ir 0.1208 0.5000 0.8302
Se1 Se 0.2537 0.0000 0.3326
# Uncorrected formation energy, eV per atom: -0.188



No. 9
# GGA-PBE ReP2Pd2, relaxed
data_ReP2Pd2
_chemical_formula_sum 'Re2 P4 Pd4'
_cell_length_a 6.0416
_cell_length_b 6.0416
_cell_length_c 4.2273
_cell_angle_alpha 90.00
_cell_angle_beta 90.00
_cell_angle_gamma 90.00
_symmetry_space_group_name_H-M 'P 4/m b m'
_symmetry_Int_Tables_number 127
_symmetry_space_group_name_Hall '-P 4 2ab'
loop_
_atom_site_label
_atom_site_type_symbol
_atom_site_fract_x
_atom_site_fract_y
_atom_site_fract_z
Re1 Re 0.0000 0.0000 0.0000
P1 P 0.1295 0.3705 0.0000
Pd1 Pd 0.2444 0.2556 0.5000
# Energy of formation from the pure elements, kJ/mol of formula units: -97



No. 10
# GGA-PBE K2AlIn, relaxed
data_K2AlIn
_chemical_formula_sum 'K8 Al4 In4'
_cell_length_a 9.7990
_cell_length_b 9.7990
_cell_length_c 6.2757
_cell_angle_alpha 90.00
_cell_angle_beta 90.00
_cell_angle_gamma 90.00
_symmetry_space_group_name_H-M 'I -4 2 d'
_symmetry_Int_Tables_number 122
_symmetry_space_group_name_Hall 'I -4 2bw'
loop_
_atom_site_label
_atom_site_type_symbol
_atom_site_fract_x
_atom_site_fract_y
_atom_site_fract_z
K1 K 0.2359 0.2500 0.1250
Al1 Al 0.0000 0.0000 0.0000
In1 In 0.0000 0.0000 0.5000
# Energy of formation from the pure elements, kJ/mol of formula units: 142
# Distance to the lowest polymorph of the same formula, meV/atom: 355



No. 11
# GGA-PBE TeMoW, relaxed
data_TeMoW
_chemical_formula_sum 'Te2 Mo2 W2'
_cell_length_a 3.1936
_cell_length_b 3.1936
_cell_length_c 10.4407
_cell_angle_alpha 90.00
_cell_angle_beta 90.00
_cell_angle_gamma 90.00
_symmetry_space_group_name_H-M 'I 4 m m'
_symmetry_Int_Tables_number 107
_symmetry_space_group_name_Hall 'I 4 -2'
loop_
_atom_site_label
_atom_site_type_symbol
_atom_site_fract_x
_atom_site_fract_y
_atom_site_fract_z
Te1 Te 0.0000 0.0000 0.0000
Mo1 Mo 0.0000 0.0000 0.3300
W1 W 0.0000 0.0000 0.6724
# Uncorrected formation energy, eV per atom: 0.547
# Distance to the lowest polymorph of the same formula, meV/atom: 49



No. 12
# GGA-PBE MoPb2I, relaxed
data_MoPb2I
_chemical_formula_sum 'Mo4 Pb8 I4'
_cell_length_a 6.6510
_cell_length_b 6.6510
_cell_length_c 14.8570
_cell_angle_alpha 90.00
_cell_angle_beta 90.00
_cell_angle_gamma 90.00
_symmetry_space_group_name_H-M 'I -4 2 d'
_symmetry_Int_Tables_number 122
_symmetry_space_group_name_Hall 'I -4 2bw'
loop_
_atom_site_label
_atom_site_type_symbol
_atom_site_fract_x
_atom_site_fract_y
_atom_site_fract_z
Mo1 Mo 0.0000 0.0000 0.0000
Pb1 Pb 0.1526 0.2500 0.1250
I1 I 0.0000 0.0000 0.5000
# Uncorrected formation energy, eV per atom: 0.919
# Distance to the lowest polymorph of the same formula, meV/atom: 0